# 1
# PBE Sc5Cd4Au2, optimized geometry
# Total DFT energy (no corrections), eV per cell: -94.41
# Formation enthalpy at 0 K, eV/atom: -0.48
# Spin magnetization, μB/cell: 0.00
data_Sc5Cd4Au2
_space_group_name_H-M_alt 'P b a m'
_space_group_IT_number 55
_space_group_name_Hall '-P 2 2ab'
_cell_length_a 7.7708
_cell_length_b 17.8071
_cell_length_c 3.4025
_cell_angle_alpha 90.00
_cell_angle_beta 90.00
_cell_angle_gamma 90.00
loop_
_atom_site_label
_atom_site_type_symbol
_atom_site_fract_x
_atom_site_fract_y
_atom_site_fract_z
Sc1 Sc 0.0000 0.0000 0.0000
Sc2 Sc 0.1217 0.4213 0.0000
Sc3 Sc 0.2493 0.7154 0.0000
Cd1 Cd 0.0724 0.8554 0.5000
Cd2 Cd 0.2098 0.5653 0.5000
Au1 Au 0.0405 0.3037 0.5000

---

# 2
# PBE Sc2CdAu, optimized geometry
# Total DFT energy (no corrections), eV per cell: -19.08
# Formation enthalpy at 0 K, eV/atom: -0.56
# Spin magnetization, μB/cell: 0.00
data_Sc2CdAu
_space_group_name_H-M_alt 'P 4/m m m'
_space_group_IT_number 123
_space_group_name_Hall '-P 4 2'
_cell_length_a 3.4854
_cell_length_b 3.4854
_cell_length_c 6.8612
_cell_angle_alpha 90.00
_cell_angle_beta 90.00
_cell_angle_gamma 90.00
loop_
_atom_site_label
_atom_site_type_symbol
_atom_site_fract_x
_atom_site_fract_y
_atom_site_fract_z
Sc1 Sc 0.0000 0.0000 0.2373
Cd1 Cd 0.5000 0.5000 0.5000
Au1 Au 0.5000 0.5000 0.0000